# ThCo8B4 GGA-PBE relaxed
# Energy   -91.8 eV per cell
# ΔE_f   -82 kJ/mol of formula units
# Magnetic moment   0.00 μB per formula unit
data_ThCo8B4
_space_group_name_H-M_alt 'P 1'
_space_group_IT_number 1
_space_group_name_Hall 'P 1'
_cell_length_a 5.861
_cell_length_b 5.861
_cell_length_c 5.861
_cell_angle_alpha 98.27
_cell_angle_beta 98.27
_cell_angle_gamma 135.42
loop_
_atom_site_label
_atom_site_type_symbol
_atom_site_fract_x
_atom_site_fract_y
_atom_site_fract_z
Th1 Th 0.000 0.000 0.000
Co1 Co 0.000 0.345 0.345
Co2 Co 0.000 0.655 0.655
Co3 Co 0.268 0.500 0.768
Co4 Co 0.345 0.000 0.345
Co5 Co 0.500 0.268 0.768
Co6 Co 0.500 0.732 0.232
Co7 Co 0.655 0.000 0.655
Co8 Co 0.732 0.500 0.232
B1 B 0.000 0.000 0.500
B2 B 0.000 0.500 0.000
B3 B 0.500 0.000 0.000
B4 B 0.500 0.500 0.500

***

# ThCo6B4 GGA-PBE relaxed
# Energy   -80.0 eV per cell
# ΔE_f   -317 kJ/mol of formula units
# Distance to the lowest polymorph of the same formula   0.0000 eV/atom
# Magnetic moment   0.00 μB per formula unit
data_ThCo6B4
_space_group_name_H-M_alt 'P 1'
_space_group_IT_number 1
_space_group_name_Hall 'P 1'
_cell_length_a 6.136
_cell_length_b 6.136
_cell_length_c 3.370
_cell_angle_alpha 90.00
_cell_angle_beta 90.00
_cell_angle_gamma 120.00
loop_
_atom_site_label
_atom_site_type_symbol
_atom_site_fract_x
_atom_site_fract_y
_atom_site_fract_z
Th1 Th 0.000 0.000 0.000
Co1 Co 0.203 0.406 0.500
Co2 Co 0.203 0.797 0.500
Co3 Co 0.533 0.066 0.000
Co4 Co 0.533 0.467 0.000
Co5 Co 0.594 0.797 0.500
Co6 Co 0.934 0.467 0.000
B1 B 0.333 0.667 0.000
B2 B 0.444 0.222 0.500
B3 B 0.778 0.222 0.500
B4 B 0.778 0.556 0.500

***

# Th2ZnCo12B3 GGA-PBE relaxed
# Energy   -118.9 eV per cell
# ΔE_f   247 kJ/mol of formula units
# Magnetic moment   8.54 μB per formula unit
data_Th2ZnCo12B3
_space_group_name_H-M_alt 'P 1'
_space_group_IT_number 1
_space_group_name_Hall 'P 1'
_cell_length_a 6.872
_cell_length_b 6.872
_cell_length_c 6.872
_cell_angle_alpha 60.75
_cell_angle_beta 60.75
_cell_angle_gamma 60.75
loop_
_atom_site_label
_atom_site_type_symbol
_atom_site_fract_x
_atom_site_fract_y
_atom_site_fract_z
Th1 Th 0.098 0.098 0.098
Th2 Th 0.902 0.902 0.902
Zn1 Zn 0.500 0.500 0.500
Co1 Co 0.046 0.649 0.649
Co2 Co 0.233 0.233 0.623
Co3 Co 0.233 0.623 0.233
Co4 Co 0.351 0.351 0.954
Co5 Co 0.351 0.954 0.351
Co6 Co 0.377 0.767 0.767
Co7 Co 0.623 0.233 0.233
Co8 Co 0.649 0.046 0.649
Co9 Co 0.649 0.649 0.046
Co10 Co 0.767 0.377 0.767
Co11 Co 0.767 0.767 0.377
Co12 Co 0.954 0.351 0.351
B1 B 0.000 0.500 0.500
B2 B 0.500 0.000 0.500
B3 B 0.500 0.500 0.000

***

# Th4ZnCo12B3 GGA-PBE relaxed
# Energy   -141.4 eV per cell
# ΔE_f   -497 kJ/mol of formula units
# Magnetic moment   0.00 μB per formula unit
data_Th4ZnCo12B3
_space_group_name_H-M_alt 'P 1'
_space_group_IT_number 1
_space_group_name_Hall 'P 1'
_cell_length_a 7.113
_cell_length_b 7.113
_cell_length_c 7.113
_cell_angle_alpha 109.47
_cell_angle_beta 109.47
_cell_angle_gamma 109.47
loop_
_atom_site_label
_atom_site_type_symbol
_atom_site_fract_x
_atom_site_fract_y
_atom_site_fract_z
Th1 Th 0.000 0.000 0.500
Th2 Th 0.000 0.500 0.000
Th3 Th 0.500 0.000 0.000
Th4 Th 0.500 0.500 0.500
Zn1 Zn 0.000 0.000 0.000
Co1 Co 0.000 0.274 0.274
Co2 Co 0.000 0.726 0.726
Co3 Co 0.250 0.500 0.750
Co4 Co 0.250 0.750 0.500
Co5 Co 0.274 0.000 0.274
Co6 Co 0.274 0.274 0.000
Co7 Co 0.500 0.250 0.750
Co8 Co 0.500 0.750 0.250
Co9 Co 0.726 0.000 0.726
Co10 Co 0.726 0.726 0.000
Co11 Co 0.750 0.250 0.500
Co12 Co 0.750 0.500 0.250
B1 B 0.000 0.500 0.500
B2 B 0.500 0.000 0.500
B3 B 0.500 0.500 0.000

***

# TiCo10B3 GGA-PBE relaxed
# Energy   -205.5 eV per cell
# ΔE_f   -363 kJ/mol of formula units
# Magnetic moment   9.48 μB per formula unit
data_TiCo10B3
_space_group_name_H-M_alt 'P 1'
_space_group_IT_number 1
_space_group_name_Hall 'P 1'
_cell_length_a 7.368
_cell_length_b 7.368
_cell_length_c 7.368
_cell_angle_alpha 60.00
_cell_angle_beta 60.00
_cell_angle_gamma 60.00
loop_
_atom_site_label
_atom_site_type_symbol
_atom_site_fract_x
_atom_site_fract_y
_atom_site_fract_z
Ti1 Ti 0.250 0.250 0.250
Ti2 Ti 0.750 0.750 0.750
Co1 Co 0.000 0.000 0.337
Co2 Co 0.000 0.000 0.663
Co3 Co 0.000 0.337 0.000
Co4 Co 0.000 0.337 0.663
Co5 Co 0.000 0.663 0.000
Co6 Co 0.000 0.663 0.337
Co7 Co 0.147 0.618 0.618
Co8 Co 0.337 0.000 0.000
Co9 Co 0.337 0.000 0.663
Co10 Co 0.337 0.663 0.000
Co11 Co 0.382 0.382 0.382
Co12 Co 0.382 0.382 0.853
Co13 Co 0.382 0.853 0.382
Co14 Co 0.618 0.147 0.618
Co15 Co 0.618 0.618 0.147
Co16 Co 0.618 0.618 0.618
Co17 Co 0.663 0.000 0.000
Co18 Co 0.663 0.000 0.337
Co19 Co 0.663 0.337 0.000
Co20 Co 0.853 0.382 0.382
B1 B 0.275 0.275 0.725
B2 B 0.275 0.725 0.275
B3 B 0.275 0.725 0.725
B4 B 0.725 0.275 0.275
B5 B 0.725 0.275 0.725
B6 B 0.725 0.725 0.275

***

# TiCo2B GGA-PBE relaxed
# Energy   -58.7 eV per cell
# ΔE_f   -54 kJ/mol of formula units
# Magnetic moment   0.00 μB per formula unit
data_TiCo2B
_space_group_name_H-M_alt 'P 1'
_space_group_IT_number 1
_space_group_name_Hall 'P 1'
_cell_length_a 4.982
_cell_length_b 4.982
_cell_length_c 4.982
_cell_angle_alpha 102.51
_cell_angle_beta 102.51
_cell_angle_gamma 124.52
loop_
_atom_site_label
_atom_site_type_symbol
_atom_site_fract_x
_atom_site_fract_y
_atom_site_fract_z
Ti1 Ti 0.000 0.000 0.000
Ti2 Ti 0.750 0.250 0.500
Co1 Co 0.223 0.625 0.098
Co2 Co 0.375 0.473 0.598
Co3 Co 0.527 0.125 0.902
Co4 Co 0.875 0.777 0.402
B1 B 0.250 0.750 0.500
B2 B 0.500 0.500 0.000